Material: HfCoCuAs
Method: DFT, PBE-GGA
State: optimized geometry

Unit cell a=4.3667 b=4.3667 c=4.3667 alpha=60.00 beta=60.00 gamma=60.00
Last column: nearest neighbours and their distance in Å.
Fractional coordinates of all 4 atoms:
Co: 0.7500 0.7500 0.7500  4 As 2.67, 4 Cu 2.67
Hf: 0.2500 0.2500 0.2500  4 Cu 2.67, 4 As 2.67
Cu: 0.5000 0.5000 0.5000  4 Hf 2.67, 4 Co 2.67
As: 0.0000 0.0000 0.0000  4 Co 2.67, 4 Hf 2.67

Output
Energy relative to the lowest polymorph listed for this composition   23 meV/atom
Space group   F-43m (216)

Material: AlGaFe2Pt4
Method: DFT, PBE-GGA
State: optimized geometry

Unit cell a=4.3610 b=4.3610 c=6.1616 alpha=90.00 beta=90.00 gamma=90.00
Last column: nearest neighbours and their distance in Å.
Fractional coordinates of all 8 atoms:
Ga: 0.5000 0.5000 0.5000  8 Pt 2.68
Pt: 0.0000 0.5000 0.2464  4 Fe 2.66-2.68, 2 Al 2.66, 2 Ga 2.68
Pt: 0.5000 0.0000 0.2464  4 Fe 2.66-2.68, 2 Al 2.66, 2 Ga 2.68
Pt: 0.0000 0.5000 0.7536  4 Fe 2.66-2.68, 2 Al 2.66, 2 Ga 2.68
Pt: 0.5000 0.0000 0.7536  4 Fe 2.66-2.68, 2 Al 2.66, 2 Ga 2.68
Fe: 0.5000 0.5000 0.0000  8 Pt 2.66
Fe: 0.0000 0.0000 0.5000  8 Pt 2.68
Al: 0.0000 0.0000 0.0000  8 Pt 2.66

Output
Calculated total energy   -6.40 eV per atom
Space group   P4/mmm (123)

Material: Gd2Er5Hg
Method: DFT, PBE-GGA
State: optimized geometry

Unit cell a=5.5137 b=7.0248 c=7.0248 alpha=59.94 beta=90.00 gamma=90.00
Last column: nearest neighbours and their distance in Å.
Fractional coordinates of all 8 atoms:
Er: 0.0000 0.6731 0.1578  6 Er 3.39-3.62, 4 Gd 3.42-3.61, 2 Hg 3.47-3.55
Er: 0.5000 0.8385 0.3308  2 Hg 3.39, 6 Er 3.44-3.56, 4 Gd 3.44-3.58
Er: 0.0000 0.1578 0.6731  6 Er 3.39-3.62, 4 Gd 3.42-3.61, 2 Hg 3.47-3.55
Er: 0.5000 0.3308 0.8385  2 Hg 3.39, 6 Er 3.44-3.56, 4 Gd 3.44-3.58
Er: 0.5000 0.8343 0.8343  8 Er 3.39-3.52, 4 Gd 3.39-3.51
Gd: 0.5000 0.3295 0.3295  2 Hg 3.41, 10 Er 3.44-3.58
Gd: 0.0000 0.6717 0.6717  10 Er 3.39-3.61, 2 Hg 3.51
Hg: 0.0000 0.1643 0.1643  8 Er 3.39-3.55, 4 Gd 3.41-3.51

Output
Energy relative to the elements   -40 meV per atom
Space group   Amm2 (38)

Material: Na2LiTaSe4
Method: DFT, PBE-GGA
State: optimized geometry

Unit cell a=7.0253 b=7.0253 c=6.2283 alpha=90.00 beta=90.00 gamma=90.00
Last column: nearest neighbours and their distance in Å.
Fractional coordinates of all 8 atoms:
Na: 0.5000 0.0000 0.0000  4 Se 2.92
Na: 0.0000 0.5000 0.0000  4 Se 2.92
Se: 0.8029 0.8029 0.7695  1 Ta 2.43, 1 Li 2.58
Se: 0.1971 0.8029 0.2305  1 Ta 2.43, 1 Li 2.58
Se: 0.1971 0.1971 0.7695  1 Ta 2.43, 1 Li 2.58
Se: 0.8029 0.1971 0.2305  1 Ta 2.43, 1 Li 2.58
Li: 0.0000 0.0000 0.5000  4 Se 2.58
Ta: 0.0000 0.0000 0.0000  4 Se 2.43

Output
Calculated total energy   -4.80 eV per atom
Space group   P-42m (111)

Material: ZrGaCuTc
Method: DFT, PBE-GGA
State: optimized geometry

Unit cell a=4.4793 b=4.4793 c=4.4793 alpha=60.00 beta=60.00 gamma=60.00
Last column: nearest neighbours and their distance in Å.
Fractional coordinates of all 4 atoms:
Ga: 0.0000 0.0000 0.0000  4 Cu 2.74, 4 Tc 2.74
Zr: 0.5000 0.5000 0.5000  4 Cu 2.74, 4 Tc 2.74
Cu: 0.7500 0.7500 0.7500  4 Ga 2.74, 4 Zr 2.74
Tc: 0.2500 0.2500 0.2500  4 Zr 2.74, 4 Ga 2.74

Output
Energy relative to the lowest polymorph listed for this composition   0 meV/atom
Space group   F-43m (216)

Material: PrSiAu
Method: DFT, PBE-GGA
State: optimized geometry

Unit cell a=7.2534 b=7.2534 c=4.3128 alpha=90.00 beta=90.00 gamma=120.00
Last column: nearest neighbours and their distance in Å.
Fractional coordinates of all 9 atoms:
Si: 0.6667 0.3333 0.0000  3 Au 2.73
Si: 0.0000 0.0000 0.5000  6 Au 2.86, 3 Pr 2.99
Si: 0.3333 0.6667 0.0000  3 Au 2.73
Au: 0.2583 0.0000 0.0000  4 Si 2.73-2.86
Au: 0.0000 0.2583 0.0000  4 Si 2.73-2.86
Au: 0.7417 0.7417 0.0000  4 Si 2.73-2.86
Pr: 0.0000 0.5884 0.5000  5 Si 2.99-3.07, 2 Au 3.22
Pr: 0.4116 0.4116 0.5000  5 Si 2.99-3.07, 2 Au 3.22
Pr: 0.5884 0.0000 0.5000  5 Si 2.99-3.07, 2 Au 3.22

Output
Calculated total energy   -5.20 eV per atom
Space group   P-62m (189)

Repeat the second record exactly.
Material: AlGaFe2Pt4
Method: DFT, PBE-GGA
State: optimized geometry

Unit cell a=4.3610 b=4.3610 c=6.1616 alpha=90.00 beta=90.00 gamma=90.00
Last column: nearest neighbours and their distance in Å.
Fractional coordinates of all 8 atoms:
Ga: 0.5000 0.5000 0.5000  8 Pt 2.68
Pt: 0.0000 0.5000 0.2464  4 Fe 2.66-2.68, 2 Al 2.66, 2 Ga 2.68
Pt: 0.5000 0.0000 0.2464  4 Fe 2.66-2.68, 2 Al 2.66, 2 Ga 2.68
Pt: 0.0000 0.5000 0.7536  4 Fe 2.66-2.68, 2 Al 2.66, 2 Ga 2.68
Pt: 0.5000 0.0000 0.7536  4 Fe 2.66-2.68, 2 Al 2.66, 2 Ga 2.68
Fe: 0.5000 0.5000 0.0000  8 Pt 2.66
Fe: 0.0000 0.0000 0.5000  8 Pt 2.68
Al: 0.0000 0.0000 0.0000  8 Pt 2.66

Output
Calculated total energy   -6.40 eV per atom
Space group   P4/mmm (123)

> What is the formula in the fifth record?

ZrGaCuTc